No. 1
Computed, not measured: a relaxed Ag2Bi2Pt crystal at the PBE level of DFT.

## Properties
The calculated volume is 227 Å³/cell. The calculation puts the total energy at -18.757 eV/f.u. As for the spin magnetization: 0.00 μB/cell. The calculated formation energy comes out at 3.5 kcal/mol of atoms.

a = 7.242 Å, b = 7.242 Å, c = 4.324 Å
α = 90.00°, β = 90.00°, γ = 90.00°
Sites, in units of the cell vectors:
Ag: 0.136 0.364 0.000
Ag: 0.364 0.864 0.000
Ag: 0.636 0.136 0.000
Ag: 0.864 0.636 0.000
Bi: 0.175 0.675 0.500
Bi: 0.325 0.175 0.500
Bi: 0.675 0.825 0.500
Bi: 0.825 0.325 0.500
Pt: 0.000 0.000 0.000
Pt: 0.500 0.500 0.000

=====

No. 2
Computed, not measured: a relaxed AgBiPt2 crystal at the PBE level of DFT.

## Properties
The calculated volume is 75 Å³/cell. The calculation puts the total energy at -18.711 eV/f.u. As for the spin magnetization: 0.00 μB/cell. The calculated formation energy comes out at 0.6 kcal/mol of atoms.

a = 4.219 Å, b = 4.219 Å, c = 4.232 Å
α = 90.00°, β = 90.00°, γ = 90.00°
Sites, in units of the cell vectors:
Ag: 0.000 0.000 0.000
Bi: 0.500 0.500 0.000
Pt: 0.000 0.500 0.500
Pt: 0.500 0.000 0.500

=====

No. 3
Computed, not measured: a relaxed Ag2BiPt crystal at the PBE level of DFT.

## Properties
The calculated volume is 173 Å³/cell. The calculation puts the total energy at -14.787 eV/f.u. As for the spin magnetization: 0.00 μB/cell. The calculated formation energy comes out at 4.8 kcal/mol of atoms.

a = 6.239 Å, b = 6.239 Å, c = 6.239 Å
α = 101.39°, β = 101.39°, γ = 127.22°
Sites, in units of the cell vectors:
Ag: 0.102 0.125 0.477
Ag: 0.375 0.898 0.023
Ag: 0.648 0.625 0.523
Ag: 0.875 0.352 0.977
Bi: 0.250 0.750 0.500
Bi: 0.500 0.500 0.000
Pt: 0.000 0.000 0.000
Pt: 0.750 0.250 0.500

=====

No. 4
Computed, not measured: a relaxed AgBi2Pt2 crystal at the PBE level of DFT.

## Properties
The calculated volume is 119 Å³/cell. The calculation puts the total energy at -22.706 eV/f.u. As for the spin magnetization: 0.00 μB/cell. The calculated formation energy comes out at -0.1 kcal/mol of atoms.

a = 8.291 Å, b = 8.291 Å, c = 8.291 Å
α = 152.84°, β = 152.84°, γ = 38.79°
Sites, in units of the cell vectors:
Ag: 0.000 0.000 0.000
Bi: 0.383 0.383 0.000
Bi: 0.617 0.617 0.000
Pt: 0.250 0.750 0.500
Pt: 0.750 0.250 0.500

=====

No. 5
Computed, not measured: a relaxed AgBiPt3 crystal at the PBE level of DFT.

## Properties
The calculated volume is 118 Å³/cell. The calculation puts the total energy at -19.512 eV/f.u. As for the spin magnetization: 0.00 μB/cell. The calculated formation energy comes out at 24.6 kcal/mol of atoms.

a = 4.904 Å, b = 4.904 Å, c = 4.904 Å
α = 90.00°, β = 90.00°, γ = 90.00°
Sites, in units of the cell vectors:
Ag: 0.000 0.000 0.000
Bi: 0.500 0.500 0.500
Pt: 0.000 0.000 0.500
Pt: 0.000 0.500 0.000
Pt: 0.500 0.000 0.000

=====

No. 6
Computed, not measured: a relaxed AgBi2Pt2 crystal at the PBE level of DFT.

## Properties
The calculated volume is 121 Å³/cell. The calculation puts the total energy at -22.488 eV/f.u. As for the spin magnetization: 0.00 μB/cell. The calculated formation energy comes out at 1.0 kcal/mol of atoms.

a = 5.600 Å, b = 5.600 Å, c = 5.600 Å
α = 121.79°, β = 121.79°, γ = 86.93°
Sites, in units of the cell vectors:
Ag: 0.000 0.000 0.000
Bi: 0.250 0.750 0.500
Bi: 0.750 0.250 0.500
Pt: 0.342 0.342 0.000
Pt: 0.658 0.658 0.000

=====

No. 7
Computed, not measured: a relaxed Ag2BiPt crystal at the PBE level of DFT.

## Properties
The calculated volume is 80 Å³/cell. The calculation puts the total energy at -15.427 eV/f.u. As for the spin magnetization: 0.00 μB/cell. The calculated formation energy comes out at 1.1 kcal/mol of atoms.

a = 4.155 Å, b = 4.155 Å, c = 4.616 Å
α = 90.00°, β = 90.00°, γ = 90.00°
Sites, in units of the cell vectors:
Ag: 0.000 0.500 0.000
Ag: 0.500 0.000 0.000
Bi: 0.000 0.000 0.500
Pt: 0.500 0.500 0.500

=====

No. 8
Computed, not measured: a relaxed Ag2BiPt crystal at the PBE level of DFT.

## Properties
The calculated volume is 86 Å³/cell. The calculation puts the total energy at -14.475 eV/f.u. As for the spin magnetization: 0.00 μB/cell. The calculated formation energy comes out at 6.6 kcal/mol of atoms.

a = 10.372 Å, b = 10.372 Å, c = 10.372 Å
α = 17.24°, β = 17.24°, γ = 17.24°
Sites, in units of the cell vectors:
Ag: 0.095 0.095 0.095
Ag: 0.905 0.905 0.905
Bi: 0.000 0.000 0.000
Pt: 0.500 0.500 0.500